Entry 1:
The following is a PBE-GGA calculation of a relaxed structure of MoSe2, from OQMD via LeMat-Bulk.

```
MoSe2
1.0
-7.612 0.290 0.806
-4.248 3.825 -5.099
-4.515 -3.827 -4.863
Mo Se
2 4
Direct
0.500 0.500 0.500
0.750 0.750 0.750
0.625 0.625 0.125
0.625 0.125 0.625
0.125 0.625 0.625
0.625 0.625 0.625
```

Calculated values
The calculation puts the magnetic moment at 0.00 μB/f.u. The energy is -0.2157 hartree per atom. The crystal system is cubic.

=====

Entry 2:
The following is a PBE-GGA calculation of a relaxed structure of ScZnPdPt, from OQMD via LeMat-Bulk.

```
ScZnPdPt
1.0
-2.755 -2.259 3.106
-4.359 1.202 -1.375
3.473 -1.816 -2.642
Pd Pt Sc Zn
1 1 1 1
Direct
0.750 0.750 0.000
0.250 0.250 0.000
0.000 0.500 0.500
0.500 0.000 0.500
```

Calculated values
The calculation puts the magnetic moment at 0.00 μB/f.u. The value obtained for the formation energy is -3.6 eV/f.u. The crystal system is tetragonal.

=====

Entry 3:
The following is a PBE-GGA calculation of a relaxed structure of RbDySO, from OQMD via LeMat-Bulk.

```
RbDySO
1.0
5.693 0.000 -0.535
0.000 5.718 0.000
-1.781 0.000 11.579
Dy O Rb S
4 4 4 4
Direct
0.546 0.363 0.092
0.046 0.863 0.092
0.954 0.363 0.908
0.454 0.863 0.908
0.750 0.113 0.000
0.250 0.613 0.000
0.750 0.613 0.000
0.250 0.113 0.000
0.947 0.112 0.392
0.447 0.612 0.392
0.553 0.112 0.608
0.053 0.612 0.608
0.388 0.112 0.273
0.888 0.612 0.273
0.112 0.112 0.727
0.612 0.612 0.727
```

Calculated values
Its relative energy among the computed polymorphs is 32 meV/atom. The calculation puts the magnetic moment at 0.00 μB/f.u. The crystal system is monoclinic.

=====

Entry 4:
The following is a PBE-GGA calculation of a relaxed structure of Hf4Zr2Si3C3, from OQMD via LeMat-Bulk.

```
Hf4Zr2Si3C3
1.0
-2.100 4.917 -1.955
1.291 1.757 -5.259
-10.533 -8.760 -2.431
C Hf Si Zr
6 8 6 4
Direct
0.668 0.163 0.000
0.000 0.500 0.000
0.332 0.837 0.000
0.163 0.668 0.500
0.500 0.000 0.500
0.837 0.332 0.500
0.031 0.198 0.093
0.697 0.862 0.093
0.138 0.303 0.407
0.802 0.969 0.407
0.198 0.031 0.593
0.862 0.697 0.593
0.303 0.138 0.907
0.969 0.802 0.907
0.428 0.231 0.250
0.050 0.950 0.250
0.769 0.572 0.250
0.231 0.428 0.750
0.950 0.050 0.750
0.572 0.769 0.750
0.366 0.534 0.098
0.466 0.634 0.402
0.534 0.366 0.598
0.634 0.466 0.902
```

Calculated values
The calculation puts the magnetic moment at 0.00 μB/f.u. The energy is -0.3375 hartree per atom. The crystal system is monoclinic.